Record 1
Entry from Alexandria via LeMat-Bulk: a relaxed structure of LaBeRu2 (PBE).

The structure belongs to space group Immm (No. 71); the cell edges are 3.1759, 5.2506 and 7.9531 Å and the angles 90.00°, 90.00° and 90.00°. Symmetry generates all atoms from La at (0.0000, 0.0000, 0.0000), Be at (0.0000, 0.0000, 0.5000) and Ru at (0.0000, 0.5000, 0.2151).

The total energy is -53.03 eV/cell. As for the crystal system: orthorhombic.

---

Record 2
Entry from Alexandria via LeMat-Bulk: a relaxed structure of LaBeRu2 (PBE).

The structure belongs to space group C2/m (No. 12); the cell edges are 7.8172, 3.2086 and 5.6125 Å and the angles 90.00°, 103.85° and 90.00°. Symmetry generates all atoms from La at (0.0000, 0.0000, 0.0000), Be at (0.0000, 0.5000, 0.5000) and Ru at (0.2127, 0.0000, 0.6635).

The total energy is -53.87 eV/cell. As for the crystal system: monoclinic.

---

no.,calculated formation energy (eV per atom),DOS(E_F) (states/eV per cell)
1,0.173,6.4
2,0.068,7.3